The following is a DFT calculation (PBE) of Tb4PmY15 after structural relaxation.

* magnetization: 0.0 μB per cell
* formation energy: 22.0 meV/atom

a = 5.054 Å, b = 5.054 Å, c = 25.248 Å
α = 90.00°, β = 90.00°, γ = 90.00°
Element x y z (fractional)
Tb 0.000 0.000 0.201
Tb 0.000 0.000 0.400
Tb 0.000 0.000 0.600
Tb 0.000 0.000 0.799
Pm 0.000 0.000 0.000
Y 0.500 0.500 0.000
Y 0.500 0.500 0.201
Y 0.500 0.500 0.400
Y 0.500 0.500 0.600
Y 0.500 0.500 0.799
Y 0.500 0.000 0.101
Y 0.500 0.000 0.300
Y 0.500 0.000 0.500
Y 0.500 0.000 0.700
Y 0.500 0.000 0.899
Y 0.000 0.500 0.101
Y 0.000 0.500 0.300
Y 0.000 0.500 0.500
Y 0.000 0.500 0.700
Y 0.000 0.500 0.899

=====

The following is a DFT calculation (PBE) of CaLa2As after structural relaxation.

* magnetization: 0.0 μB per cell
* formation energy: -672.2 meV/atom

a = 10.462 Å, b = 10.462 Å, c = 10.462 Å
α = 22.92°, β = 22.92°, γ = 22.92°
Element x y z (fractional)
As 0.250 0.250 0.250
Ca 0.750 0.750 0.750
La 0.974 0.974 0.974
La 0.526 0.526 0.526

=====

The following is a DFT calculation (PBE) of CeNdAlCd after structural relaxation.

* magnetization: 0.8 μB per cell
* formation energy: -238.3 meV/atom

a = 5.345 Å, b = 5.345 Å, c = 5.345 Å
α = 60.00°, β = 60.00°, γ = 60.00°
Element x y z (fractional)
Nd 0.500 0.500 0.500
Al 0.250 0.250 0.250
Ce 0.000 0.000 0.000
Cd 0.750 0.750 0.750

=====

The following is a DFT calculation (PBE) of NpScCdO6 after structural relaxation.

* formation energy from raw total energies: -2464.5 meV per atom
* magnetization: 0.0 μB per cell

a = 5.551 Å, b = 5.551 Å, c = 9.459 Å
α = 90.00°, β = 90.00°, γ = 120.00°
Element x y z (fractional)
Np 0.667 0.333 0.250
Np 0.333 0.667 0.750
Sc 0.333 0.667 0.250
Sc 0.667 0.333 0.750
Cd 0.000 0.000 0.000
Cd 0.000 0.000 0.500
O 0.648 0.635 0.138
O 0.987 0.352 0.138
O 0.352 0.987 0.638
O 0.013 0.648 0.862
O 0.365 0.352 0.362
O 0.987 0.635 0.362
O 0.635 0.987 0.862
O 0.648 0.013 0.362
O 0.013 0.365 0.638
O 0.365 0.013 0.138
O 0.635 0.648 0.638
O 0.352 0.365 0.862

=====

The following is a DFT calculation (PBE) of Sm2Zn3Ir2 after structural relaxation.

* magnetization: 0.0 μB per cell
* formation energy: -555.7 meV/atom

a = 4.175 Å, b = 5.414 Å, c = 7.141 Å
α = 111.00°, β = 90.00°, γ = 112.68°
Element x y z (fractional)
Sm 0.854 0.708 0.228
Sm 0.146 0.292 0.772
Zn 0.500 0.000 0.000
Zn 0.641 0.281 0.442
Zn 0.359 0.719 0.558
Ir 0.863 0.725 0.805
Ir 0.137 0.275 0.195

=====

The following is a DFT calculation (PBE) of PbBr2 after structural relaxation.

* formation energy from raw total energies: 199.0 meV per atom
* magnetization: 1.3 μB per cell

a = 6.419 Å, b = 6.419 Å, c = 6.419 Å
α = 60.00°, β = 60.00°, γ = 60.00°
Element x y z (fractional)
Pb 0.500 0.500 0.500
Pb 0.750 0.750 0.750
Br 0.625 0.125 0.125
Br 0.125 0.625 0.125
Br 0.125 0.125 0.625
Br 0.125 0.125 0.125

=====

The following is a DFT calculation (PBE) of AcMgAl2Zn4 after structural relaxation.

* magnetization: 0.0 μB per cell
* formation energy: -168.7 meV/atom

a = 4.465 Å, b = 4.465 Å, c = 9.644 Å
α = 76.62°, β = 76.62°, γ = 60.00°
Element x y z (fractional)
Ac 0.000 0.000 0.000
Mg 0.500 0.500 0.500
Al 0.763 0.763 0.712
Al 0.237 0.237 0.288
Zn 0.403 0.403 0.792
Zn 0.873 0.873 0.381
Zn 0.127 0.127 0.619
Zn 0.597 0.597 0.208

=====

The following is a DFT calculation (PBE) of TaTiReMo after structural relaxation.

* magnetization: 0.0 μB per cell
* formation energy: -312.7 meV/atom

a = 4.495 Å, b = 4.495 Å, c = 4.495 Å
α = 60.00°, β = 60.00°, γ = 60.00°
Element x y z (fractional)
Re 0.000 0.000 0.000
Mo 0.500 0.500 0.500
Ti 0.250 0.250 0.250
Ta 0.750 0.750 0.750

=====

> Number 7 is which compound?

AcMgAl2Zn4

=====

> magnetization of number 5 (Sm2Zn3Ir2)?

0.0 μB per cell

=====

> What is the formula in the third record?

CeNdAlCd